1.
Material: DyEr4In3
Method: DFT, PBE
State: optimized geometry

Lattice parameters (Å, degrees): 8.882 8.882 8.882 157.46 120.81 64.17
Positions (direct):
Dy1 0.000 0.000 0.000
Er1 0.161 0.860 0.302
Er2 0.442 0.140 0.302
Er3 0.558 0.860 0.698
Er4 0.839 0.140 0.698
In1 0.185 0.685 0.500
In2 0.500 0.500 0.000
In3 0.815 0.315 0.500

Properties
magnetization	0.4	μB per cell
symmetry	Immm
calculated density	8.520	g cm⁻³

=====

2.
Material: Dy2Er3In2
Method: DFT, PBE
State: optimized geometry

Lattice parameters (Å, degrees): 11.971 11.971 3.420 90.00 90.00 156.39
Positions (direct):
Dy1 0.214 0.786 0.000
Dy2 0.786 0.214 0.000
Er1 0.357 0.643 0.500
Er2 0.500 0.500 0.500
Er3 0.643 0.357 0.500
In1 0.071 0.929 0.000
In2 0.929 0.071 0.000

Properties
magnetization	0.3	μB per cell
symmetry	Cmmm
calculated density	8.936	g cm⁻³

=====

3.
Material: Dy2Er2In
Method: DFT, PBE
State: optimized geometry

Lattice parameters (Å, degrees): 8.158 8.158 4.576 90.00 90.00 90.00
Positions (direct):
Dy1 0.148 0.352 0.000
Dy2 0.352 0.852 0.000
Dy3 0.648 0.148 0.000
Dy4 0.852 0.648 0.000
Er1 0.152 0.652 0.500
Er2 0.348 0.152 0.500
Er3 0.652 0.848 0.500
Er4 0.848 0.348 0.500
In1 0.000 0.000 0.000
In2 0.500 0.500 0.000

Properties
magnetization	0.0	μB per cell
symmetry	P4/mbm
calculated density	8.444	g cm⁻³

=====

4.
Material: Dy4ErIn2
Method: DFT, PBE
State: optimized geometry

Lattice parameters (Å, degrees): 8.328 6.562 8.484 90.00 118.80 90.00
Positions (direct):
Dy1 0.040 0.250 0.037
Dy2 0.107 0.750 0.391
Dy3 0.438 0.503 0.269
Dy4 0.438 0.997 0.269
Dy5 0.562 0.003 0.731
Dy6 0.562 0.497 0.731
Dy7 0.893 0.250 0.609
Dy8 0.960 0.750 0.963
Er1 0.255 0.750 0.831
Er2 0.745 0.250 0.169
In1 0.190 0.250 0.460
In2 0.326 0.250 0.889
In3 0.674 0.750 0.111
In4 0.810 0.750 0.540

Properties
magnetization	0.0	μB per cell
symmetry	P2_1/m
calculated density	8.557	g cm⁻³

=====

5.
Material: Dy2Er3In2
Method: DFT, PBE
State: optimized geometry

Lattice parameters (Å, degrees): 8.541 8.541 8.541 36.50 36.50 36.50
Positions (direct):
Dy1 0.076 0.076 0.076
Dy2 0.924 0.924 0.924
Er1 0.347 0.347 0.347
Er2 0.500 0.500 0.500
Er3 0.653 0.653 0.653
In1 0.217 0.217 0.217
In2 0.783 0.783 0.783

Properties
magnetization	0.0	μB per cell
symmetry	R-3m
calculated density	8.889	g cm⁻³

=====

6.
Material: Dy4Er5In
Method: DFT, PBE
State: optimized geometry

Lattice parameters (Å, degrees): 3.526 3.526 24.235 90.00 90.00 90.00
Positions (direct):
Dy1 0.000 0.000 0.103
Dy2 0.000 0.000 0.310
Dy3 0.000 0.000 0.690
Dy4 0.000 0.000 0.897
Er1 0.500 0.500 0.000
Er2 0.500 0.500 0.206
Er3 0.500 0.500 0.413
Er4 0.500 0.500 0.587
Er5 0.500 0.500 0.794
In1 0.000 0.000 0.500

Properties
magnetization	0.0	μB per cell
symmetry	P4/mmm
calculated density	8.825	g cm⁻³

=====

Computed energy above the most stable polymorph in this dataset (eV per formula unit) in order:
0.83, 0.89, 0.00, 0.00, 0.00, 0.00
Computed calculated formation energy (kJ/mol of atoms) in order:
-20, -14, 4, -16, -26, -8
Computed DOS at the Fermi energy (states/eV/cell) in order:
8.23, 5.86, 10.76, 15.28, 5.58, 12.81